[1]
VASP calculation (PBE) on a relaxed structure of DyThNb.

a = 8.9728 Å, b = 8.9728 Å, c = 6.2008 Å
α = 43.65°, β = 43.65°, γ = 60.00°
Atoms (fractional coordinates):
1 Th 0.9612 0.9612 0.1165
2 Th 0.2944 0.2944 0.1168
3 Th 0.6279 0.6279 0.1163
4 Nb 0.2940 0.6274 0.1179
5 Nb 0.6274 0.9606 0.1179
6 Nb 0.9606 0.2940 0.1179
7 Dy 0.7943 0.4611 0.6167
8 Dy 0.1279 0.7943 0.6167
9 Dy 0.4611 0.1279 0.6167

Crystal system: hexagonal
SG: P-6m2 (187)
Electronic total energy, eV for the cell shown: -64.18
Energy of formation from the pure elements, eV per atom: 0.2329


[2]
VASP calculation (PBE) on a relaxed structure of AcGaAu.

a = 4.0738 Å, b = 4.7119 Å, c = 4.7119 Å
α = 120.00°, β = 90.00°, γ = 90.00°
Atoms (fractional coordinates):
1 Ac 0.6667 0.3333 0.6667
2 Ga 0.1665 0.0000 0.0000
3 Au 0.1669 0.6667 0.3333

Crystal system: hexagonal
SG: P-6m2 (187)
Electronic total energy, eV for the cell shown: -12.64
Energy of formation from the pure elements, eV per atom: -0.7429
Offset from the most stable computed form, eV/f.u.: 0.07


[3]
VASP calculation (PBE) on a relaxed structure of ZrPtSeBr2.

a = 5.0299 Å, b = 5.0299 Å, c = 5.0892 Å
α = 90.00°, β = 90.00°, γ = 90.00°
Atoms (fractional coordinates):
1 Zr 0.5000 0.5000 0.5000
2 Br 0.5000 0.0000 0.0000
3 Br 0.0000 0.5000 0.0000
4 Se 0.0000 0.0000 0.5000
5 Pt 0.0000 0.0000 0.0000

Crystal system: tetragonal
SG: P4/mmm (123)
Electronic total energy, eV for the cell shown: -20.03
Offset from the most stable computed form, eV/f.u.: 1.04
Uncorrected formation energy, meV per atom: 278.3


[4]
VASP calculation (PBE) on a relaxed structure of CdCu2Mo.

a = 9.2862 Å, b = 9.2862 Å, c = 9.2862 Å
α = 17.20°, β = 17.20°, γ = 17.20°
Atoms (fractional coordinates):
1 Cd 0.7500 0.7500 0.7500
2 Cu 0.9965 0.9965 0.9965
3 Cu 0.5035 0.5035 0.5035
4 Mo 0.2500 0.2500 0.2500

Crystal system: trigonal
SG: R-3m (166)
Electronic total energy, eV for the cell shown: -18.86
Energy of formation from the pure elements, eV per atom: 0.2697


[5]
VASP calculation (PBE) on a relaxed structure of Sr2TeIrPb.

a = 5.8332 Å, b = 5.8332 Å, c = 5.1259 Å
α = 90.00°, β = 90.00°, γ = 90.00°
Atoms (fractional coordinates):
1 Te 0.5000 0.5000 0.5000
2 Ir 0.0000 0.0000 0.0000
3 Sr 0.5000 0.0000 0.0000
4 Sr 0.0000 0.5000 0.0000
5 Pb 0.0000 0.0000 0.5000

Crystal system: tetragonal
SG: P4/mmm (123)
Electronic total energy, eV for the cell shown: -21.97
Uncorrected formation energy, meV per atom: -579.8


[6]
VASP calculation (PBE) on a relaxed structure of NpB2.

a = 2.5699 Å, b = 2.5699 Å, c = 5.0735 Å
α = 104.67°, β = 104.67°, γ = 90.00°
Atoms (fractional coordinates):
1 Np 0.0000 0.0000 0.0000
2 B 0.2852 0.2852 0.5704
3 B 0.7148 0.7148 0.4296

Crystal system: tetragonal
SG: I4/mmm (139)
Electronic total energy, eV for the cell shown: -24.40
Energy of formation from the pure elements, eV per atom: 0.6320
Offset from the most stable computed form, eV/f.u.: 3.10


[7]
VASP calculation (PBE) on a relaxed structure of HgRuSe2.

a = 6.5387 Å, b = 6.5387 Å, c = 6.7978 Å
α = 61.25°, β = 61.25°, γ = 90.00°
Atoms (fractional coordinates):
1 Ru 0.5000 0.5000 0.0000
2 Ru 0.2500 0.7500 0.5000
3 Hg 0.7500 0.2500 0.5000
4 Hg 0.0000 0.0000 0.0000
5 Se 0.5542 0.1250 0.2500
6 Se 0.1958 0.6250 0.2500
7 Se 0.8750 0.8042 0.7500
8 Se 0.3750 0.4458 0.7500

Crystal system: tetragonal
SG: I-42d (122)
Electronic total energy, eV for the cell shown: -32.72
Uncorrected formation energy, meV per atom: 46.9


[8]
VASP calculation (PBE) on a relaxed structure of ZrTe2N.

a = 9.1382 Å, b = 9.1382 Å, c = 9.1382 Å
α = 21.21°, β = 21.21°, γ = 21.21°
Atoms (fractional coordinates):
1 Zr 0.0000 0.0000 0.0000
2 N 0.5000 0.5000 0.5000
3 Te 0.8926 0.8926 0.8926
4 Te 0.1074 0.1074 0.1074

Crystal system: trigonal
SG: R-3m (166)
Electronic total energy, eV for the cell shown: -19.49
Uncorrected formation energy, meV per atom: 916.8